8
Lattice="-3.5442 3.5442 2.9116 3.5442 -3.5442 2.9116 3.5442 3.5442 -2.9116" Properties=species:S:1:pos:R:3 comment="YTaNi2 | Alexandria via LeMat-Bulk | PBE | relaxed" delta_e_f_ev_per_atom=0.270 density_g_cm3=8.8 volume_a3_per_atom=18.3 space_group="No. 122" final_energy_ev_per_atom=-7.2000 pbc="T T T"
Y 0.0000 0.0000 0.0000
Y 0.0000 3.5442 1.4558
Ta 3.5442 0.0000 1.4558
Ta 0.0000 0.0000 2.9116
Ni 1.7721 2.0523 -0.7279
Ni 5.0361 1.7721 0.7279
Ni 1.7721 1.4919 2.1837
Ni -1.4919 1.7721 3.6395


4
Lattice="0.0000 3.1678 3.1678 3.1678 0.0000 3.1678 3.1678 3.1678 0.0000" Properties=species:S:1:pos:R:3 comment="YTaNi2 | Alexandria via LeMat-Bulk | PBE | relaxed" delta_e_f_ev_per_atom=0.233 density_g_cm3=10.1 volume_a3_per_atom=15.9 space_group="No. 216" final_energy_ev_per_atom=-7.2368 pbc="T T T"
Y 0.0000 0.0000 0.0000
Ta 4.7517 4.7517 4.7517
Ni 1.5839 1.5839 1.5839
Ni 3.1678 3.1678 3.1678


6
Lattice="0.0000 3.4946 3.4946 3.4946 0.0000 3.4946 3.4946 3.4946 0.0000" Properties=species:S:1:pos:R:3 comment="YTaNi4 | Alexandria via LeMat-Bulk | PBE | relaxed" delta_e_f_ev_per_atom=-0.194 density_g_cm3=9.8 volume_a3_per_atom=14.2 space_group="No. 216" final_energy_ev_per_atom=-7.1014 pbc="T T T"
Y 0.0000 0.0000 0.0000
Ta 1.7473 1.7473 1.7473
Ni 4.3636 2.6256 2.6256
Ni 2.6256 4.3636 2.6256
Ni 2.6256 2.6256 4.3636
Ni 4.3636 4.3636 4.3636


3
Lattice="0.0000 3.2228 3.2228 3.2228 0.0000 3.2228 3.2228 3.2228 0.0000" Properties=species:S:1:pos:R:3 comment="YTaNi | Alexandria via LeMat-Bulk | PBE | relaxed" delta_e_f_ev_per_atom=1.470 density_g_cm3=8.1 volume_a3_per_atom=22.3 space_group="No. 216" final_energy_ev_per_atom=-6.5630 pbc="T T T"
Y 0.0000 0.0000 0.0000
Ta 4.8341 4.8341 4.8341
Ni 1.6114 1.6114 1.6114


4
Lattice="-1.8975 1.8975 4.6494 1.8975 -1.8975 4.6494 1.8975 1.8975 -4.6494" Properties=species:S:1:pos:R:3 comment="YTaNi2 | Alexandria via LeMat-Bulk | PBE | relaxed" delta_e_f_ev_per_atom=0.129 density_g_cm3=9.6 volume_a3_per_atom=16.7 space_group="No. 119" final_energy_ev_per_atom=-7.3405 pbc="T T T"
Y 0.0000 0.0000 0.0000
Ta 0.0000 1.8975 2.3247
Ni 1.8975 0.0000 2.3247
Ni 0.0000 0.0000 4.6494


4
Lattice="-1.5282 2.1662 5.0195 1.5282 -2.1662 5.0195 1.5282 2.1662 -5.0195" Properties=species:S:1:pos:R:3 comment="YTaNi2 | Alexandria via LeMat-Bulk | PBE | relaxed" delta_e_f_ev_per_atom=0.044 density_g_cm3=9.7 volume_a3_per_atom=16.6 space_group="No. 44" final_energy_ev_per_atom=-7.4255 pbc="T T T"
Y 0.0000 0.0000 0.0000
Ta 0.0000 2.1662 2.2122
Ni 1.5282 0.0000 2.7249
Ni 0.0000 0.0000 4.7430